# 1
Here is a relaxed structure of CdH3Rh from the Alexandria database. Energies are from GGA-PBE.

abc: 4.6342 5.1851 5.3128
angles: 66.43 64.27 63.53
With the nearest neighbours (Å) after each atom.
Sites, in units of the cell vectors:
Cd: 0.1886 0.4381 0.1862  2 H 2.24-2.25
Cd: 0.8114 0.5619 0.8138  2 H 2.24-2.25
H: 0.1596 0.8092 0.4683  2 Rh 1.78-1.81, 2 H 1.86-1.93
H: 0.2231 0.0009 0.0004  2 Rh 1.78
H: 0.4393 0.1888 0.5343  2 Rh 1.78-1.80, 2 H 1.86-1.92
H: 0.5607 0.8112 0.4657  2 Rh 1.78-1.80, 2 H 1.86-1.92
H: 0.7769 0.9991 0.9996  2 Rh 1.78
H: 0.8404 0.1908 0.5317  2 Rh 1.78-1.81, 2 H 1.86-1.93
Rh: 0.1626 0.9671 0.7085  6 H 1.78-1.81
Rh: 0.8374 0.0329 0.2915  6 H 1.78-1.81

## Properties
* space-group type: No. 2
* crystal system: triclinic
* total moment: 0.00 μB per formula unit
* total DFT energy (no corrections): -37.12 eV per cell
* ρ: 7.3 g cm⁻³

=====

# 2
Here is a relaxed structure of CdH3Rh from the Alexandria database. Energies are from GGA-PBE.

abc: 4.9428 4.9428 7.5575
angles: 90.00 90.00 120.00
With the nearest neighbours (Å) after each atom.
Sites, in units of the cell vectors:
Cd: 0.0000 0.0000 0.0000  3 H 2.04
Cd: 0.3333 0.6667 0.6667  3 H 2.04
Cd: 0.6667 0.3333 0.3333  3 H 2.04
H: 0.0694 0.5347 0.1884  1 Rh 1.60
H: 0.1320 0.2640 0.5217  1 Rh 1.60
H: 0.1320 0.8680 0.5217  1 Rh 1.60
H: 0.4027 0.2013 0.8550  1 Rh 1.60
H: 0.4653 0.5347 0.1884  1 Rh 1.60
H: 0.4653 0.9306 0.1884  1 Rh 1.60
H: 0.7360 0.8680 0.5217  1 Rh 1.60
H: 0.7987 0.2013 0.8550  1 Rh 1.60
H: 0.7987 0.5973 0.8550  1 Rh 1.60
Rh: 0.0000 0.0000 0.3718  3 H 1.60
Rh: 0.3333 0.6667 0.0385  3 H 1.60
Rh: 0.6667 0.3333 0.7052  3 H 1.60

## Properties
* space-group type: No. 160
* crystal system: trigonal
* total moment: 0.00 μB per formula unit
* total DFT energy (no corrections): -51.26 eV per cell
* ρ: 6.8 g cm⁻³

=====

# 3
Here is a relaxed structure of CdH3Rh from the Alexandria database. Energies are from GGA-PBE.

abc: 4.9801 4.9801 5.4845
angles: 106.73 106.73 111.42
With the nearest neighbours (Å) after each atom.
Sites, in units of the cell vectors:
Cd: 0.2490 0.7510 0.0000  8 H 2.54-2.85, 4 Rh 2.80, 2 Cd 2.81
Cd: 0.7510 0.2490 0.0000  8 H 2.54-2.85, 4 Rh 2.80, 2 Cd 2.81
H: 0.0388 0.3241 0.5003  2 Rh 1.77-1.82, 1 H 1.93
H: 0.3241 0.0388 0.5003  2 Rh 1.77-1.82, 1 H 1.93
H: 0.3956 0.3956 0.2907  2 Rh 1.79, 1 H 1.97
H: 0.6044 0.6044 0.7093  2 Rh 1.79, 1 H 1.97
H: 0.6759 0.9612 0.4997  2 Rh 1.77-1.82, 1 H 1.93
H: 0.9612 0.6759 0.4997  2 Rh 1.77-1.82, 1 H 1.93
Rh: 0.3184 0.6816 0.5000  6 H 1.77-1.82
Rh: 0.6816 0.3184 0.5000  6 H 1.77-1.82

## Properties
* space-group type: No. 12
* crystal system: monoclinic
* total moment: 0.00 μB per formula unit
* total DFT energy (no corrections): -37.20 eV per cell
* ρ: 6.7 g cm⁻³

=====

# 4
Here is a relaxed structure of CdH3Rh from the Alexandria database. Energies are from GGA-PBE.

abc: 3.5896 4.5719 5.5806
angles: 90.00 90.00 90.00
With the nearest neighbours (Å) after each atom.
Sites, in units of the cell vectors:
Cd: 0.0000 0.0000 0.0000  7 H 2.30-2.50
Cd: 0.0000 0.5000 0.5000  7 H 2.30-2.50
H: 0.0000 0.0000 0.5513  2 Rh 1.80
H: 0.0000 0.5000 0.0513  2 Rh 1.80
H: 0.5000 0.2252 0.3127  2 Rh 1.81
H: 0.5000 0.2748 0.8127  2 Rh 1.81
H: 0.5000 0.7252 0.8127  2 Rh 1.81
H: 0.5000 0.7748 0.3127  2 Rh 1.81
Rh: 0.5000 0.0000 0.5795  6 H 1.80-1.81
Rh: 0.5000 0.5000 0.0795  6 H 1.80-1.81

## Properties
* space-group type: No. 38
* crystal system: orthorhombic
* total moment: 0.00 μB per formula unit
* total DFT energy (no corrections): -36.55 eV per cell
* ρ: 7.9 g cm⁻³